No. 1
Fe2Cu2Au: relaxed, PBE-GGA.

a = 7.043 Å, b = 7.043 Å, c = 2.727 Å
α = 90.00°, β = 90.00°, γ = 90.00°
Element x y z (fractional)
1 Fe 0.169 0.331 0.000
2 Fe 0.331 0.831 0.000
3 Fe 0.669 0.169 0.000
4 Fe 0.831 0.669 0.000
5 Cu 0.125 0.625 0.500
6 Cu 0.375 0.125 0.500
7 Cu 0.625 0.875 0.500
8 Cu 0.875 0.375 0.500
9 Au 0.000 0.000 0.500
10 Au 0.500 0.500 0.500

Calculated values
Energy of formation from the pure elements in meV per atom: 250

=====

No. 2
Sm2HoPaSe4: relaxed, PBE-GGA.

a = 7.127 Å, b = 4.079 Å, c = 7.173 Å
α = 90.00°, β = 108.95°, γ = 90.00°
Element x y z (fractional)
1 Sm 0.000 0.000 0.000
2 Sm 0.000 0.500 0.500
3 Ho 0.500 0.000 0.500
4 Pa 0.500 0.500 0.000
5 Se 0.256 0.000 0.749
6 Se 0.259 0.500 0.255
7 Se 0.741 0.500 0.745
8 Se 0.744 0.000 0.251

Calculated values
Uncorrected formation energy in eV/atom: -1.624

=====

No. 3
SmY2TmTh: relaxed, PBE-GGA.

a = 8.617 Å, b = 6.362 Å, c = 6.286 Å
α = 90.00°, β = 96.94°, γ = 90.00°
Element x y z (fractional)
1 Sm 0.000 0.000 0.000
2 Sm 0.000 0.000 0.500
3 Y 0.314 0.307 0.214
4 Y 0.314 0.693 0.714
5 Y 0.686 0.307 0.286
6 Y 0.686 0.693 0.786
7 Tm 0.500 0.177 0.750
8 Tm 0.500 0.823 0.250
9 Th 0.000 0.450 0.750
10 Th 0.000 0.550 0.250

Calculated values
Energy of formation from the pure elements in meV per atom: 342

=====

No. 4
Li5CoN3: relaxed, PBE-GGA.

a = 4.558 Å, b = 3.115 Å, c = 13.929 Å
α = 90.00°, β = 94.25°, γ = 90.00°
Element x y z (fractional)
1 Li 0.167 0.000 0.430
2 Li 0.215 0.000 0.778
3 Li 0.220 0.000 0.104
4 Li 0.293 0.500 0.937
5 Li 0.315 0.500 0.604
6 Li 0.685 0.500 0.396
7 Li 0.707 0.500 0.063
8 Li 0.780 0.000 0.896
9 Li 0.785 0.000 0.222
10 Li 0.833 0.000 0.570
11 Co 0.280 0.500 0.268
12 Co 0.720 0.500 0.732
13 N 0.000 0.500 0.500
14 N 0.019 0.500 0.174
15 N 0.435 0.000 0.313
16 N 0.500 0.000 0.000
17 N 0.565 0.000 0.687
18 N 0.981 0.500 0.826

Calculated values
Uncorrected formation energy in eV/atom: -0.210

=====

We obtain spin magnetization values of 11.61; 0.54; 0.00; 4.92 Bohr magnetons per cell for the records listed above, in that order.